# Al2SbAu | the Alexandria database | PBE-GGA | relaxed
# Fermi-level density of states   7.0 states/eV per cell
# Total energy   -57.01 eV/cell
# Crystal system   cubic
# Formation energy without anion corrections   0.158 eV per atom
data_Al2SbAu
_space_group_name_H-M_alt 'F -4 3 m'
_space_group_IT_number 216
_space_group_name_Hall 'F -4 2 3'
_cell_length_a 6.924
_cell_length_b 6.924
_cell_length_c 6.924
_cell_angle_alpha 90.00
_cell_angle_beta 90.00
_cell_angle_gamma 90.00
loop_
_atom_site_label
_atom_site_type_symbol
_atom_site_fract_x
_atom_site_fract_y
_atom_site_fract_z
Al1 Al 0.000 0.000 0.000
Al2 Al 0.250 0.250 0.250
Sb1 Sb 0.000 0.000 0.500
Au1 Au 0.250 0.250 0.750